The following is a DFT calculation (GGA-PBE) of a geometry-optimized CaBe2H structure.

The structure in CIF format:
```
data_CaBe2H
_chemical_formula_sum 'Ca4 Be8 H4'
_space_group_name_H-M_alt 'F m -3 m'
_space_group_IT_number 225
_space_group_name_Hall '-F 4 2 3'
_cell_length_a 6.281
_cell_length_b 6.281
_cell_length_c 6.281
_cell_angle_alpha 90.00
_cell_angle_beta 90.00
_cell_angle_gamma 90.00
loop_
_atom_site_label
_atom_site_type_symbol
_atom_site_fract_x
_atom_site_fract_y
_atom_site_fract_z
Ca1 Ca 0.000 0.000 0.000
Be1 Be 0.250 0.250 0.250
H1 H 0.000 0.000 0.500
```

Values from the calculation:
DFT total energy, eV/atom: -1.983
Excess energy over the best structure of this formula in the dataset, kJ per mole of atoms: 79.7